Below is a relaxed Ca2Nd3Bi3 crystal, with properties calculated at the PBE level.

```
Ca2Nd3Bi3
1.0
-5.392 -3.970 0.448
2.742 -4.597 -7.733
2.857 -2.924 8.470
Ca Nd Bi
4 6 6
Direct
0.000 0.333 0.667
0.500 0.667 0.333
0.000 0.667 0.333
0.500 0.333 0.667
0.750 0.243 0.000
0.750 0.757 0.757
0.750 0.000 0.243
0.250 0.757 0.000
0.250 0.243 0.243
0.250 0.000 0.757
0.750 0.607 0.000
0.750 0.393 0.393
0.750 0.000 0.607
0.250 0.393 0.000
0.250 0.607 0.607
0.250 0.000 0.393
```

Computed properties:
Energy relative to the elements (meV per atom): -760
DOS(E_F) (states/eV per cell): 16.085
E_tot (eV per atom): -4.5038
Crystal system: hexagonal